## Hf2Ga2Mo (PBE)

Data for a relaxed Hf2Ga2Mo crystal.

## Properties
- ΔH_f (0 K): -406 meV per atom
- VASP energy: -7.764 eV per atom

a = 6.948 Å, b = 6.948 Å, c = 3.693 Å
α = 90.00°, β = 90.00°, γ = 90.00°
Atoms (fractional coordinates):
Hf 0.178 0.322 0.000
Hf 0.322 0.822 0.000
Hf 0.678 0.178 0.000
Hf 0.822 0.678 0.000
Ga 0.127 0.627 0.500
Ga 0.373 0.127 0.500
Ga 0.627 0.873 0.500
Ga 0.873 0.373 0.500
Mo 0.000 0.000 0.500
Mo 0.500 0.500 0.500

=====

## Hf2GaMo (PBE)

Data for a relaxed Hf2GaMo crystal.

## Properties
- ΔH_f (0 K): -310 meV per atom
- VASP energy: -8.752 eV per atom

a = 4.548 Å, b = 4.548 Å, c = 3.546 Å
α = 90.00°, β = 90.00°, γ = 90.00°
Atoms (fractional coordinates):
Hf 0.000 0.500 0.000
Hf 0.500 0.000 0.000
Ga 0.000 0.000 0.500
Mo 0.500 0.500 0.500

=====

- The highest ΔH_f (0 K) belongs to which entry?
  Hf2GaMo